Here is crystalline BaLi3Y at its relaxed geometry from the Alexandria database. Energies are from GGA-PBE.

abc: 5.4048 5.4048 5.4048
angles: 90.00 90.00 90.00
Atoms (fractional coordinates):
Y 0.5000 0.5000 0.5000
Ba 0.0000 0.0000 0.0000
Li 0.0000 0.5000 0.0000
Li 0.0000 0.0000 0.5000
Li 0.5000 0.0000 0.0000

Output
SG   Pm-3m (221)
Energy of formation from the pure elements   0.834 eV/atom
E above lowest polymorph   221 meV/atom
Total magnetization   1.1 μB per cell



Here is crystalline LiMg2Ag2 at its relaxed geometry from the Alexandria database. Energies are from GGA-PBE.

abc: 4.6599 4.6048 8.7852
angles: 74.68 90.00 90.00
Atoms (fractional coordinates):
Li 0.4408 0.0426 0.9188
Li 0.9408 0.9574 0.0812
Mg 0.9411 0.1506 0.7002
Mg 0.4411 0.8494 0.2998
Mg 0.9409 0.3532 0.2930
Mg 0.4409 0.6468 0.7070
Ag 0.4409 0.2472 0.5037
Ag 0.9409 0.7528 0.4963
Ag 0.4407 0.4540 0.0974
Ag 0.9407 0.5460 0.9026

Output
SG   P2_1/m (11)
Energy of formation from the pure elements   -0.212 eV/atom
E above lowest polymorph   0 meV/atom
Total magnetization   0.0 μB per cell



Here is crystalline ZrCuGe2 at its relaxed geometry from the Alexandria database. Energies are from GGA-PBE.

abc: 3.8229 3.8229 9.2110
angles: 90.00 90.00 90.00
Atoms (fractional coordinates):
Ge 0.7500 0.7500 0.1751
Ge 0.2500 0.2500 0.8249
Ge 0.2500 0.7500 0.5000
Ge 0.7500 0.2500 0.5000
Cu 0.7500 0.2500 0.0000
Cu 0.2500 0.7500 0.0000
Zr 0.2500 0.2500 0.2621
Zr 0.7500 0.7500 0.7379

Output
SG   P4/nmm (129)
Energy of formation from the pure elements   -0.490 eV/atom
Total magnetization   0.0 μB per cell



Here is crystalline ScAsPt2 at its relaxed geometry from the Alexandria database. Energies are from GGA-PBE.

abc: 4.4485 3.0424 5.2023
angles: 89.99 90.00 90.00
Atoms (fractional coordinates):
As 0.5000 0.9996 0.7643
Pt 0.0000 0.0002 0.9706
Pt 0.5000 0.0001 0.2893
Sc 0.0000 0.5000 0.4758

Output
SG   Pmm2 (25)
Energy of formation from the pure elements   -0.754 eV/atom
Total magnetization   0.0 μB per cell